! PBE-GGA RbSr2MgOs, relaxed; values from VASP
&SYSTEM
  ibrav = 0, nat = 5, ntyp = 4
/
ATOMIC_SPECIES
Sr 87.62 Sr.upf
Mg 24.30 Mg.upf
Os 190.23 Os.upf
Rb 85.47 Rb.upf
ATOMIC_POSITIONS crystal
Sr 0.500 0.000 0.000
Sr 0.000 0.000 0.500
Mg 0.500 0.500 0.500
Os 0.000 0.000 0.000
Rb 0.000 0.500 0.000
CELL_PARAMETERS angstrom
5.816 0.000 0.000
0.000 6.313 0.000
0.000 0.000 5.816
! total DFT energy (no corrections) = -2.65 eV per atom
! magnetic moment = 0.0 μB per formula unit
! DOS at the Fermi energy = 11.33 states/eV/cell
! formation energy = 0.781 eV per atom